Computed, not measured: a geometry-optimized Zr5Hg structure at the GGA-PBE level of DFT.

Geometry as POSCAR:
```
Zr5Hg
1.0
-2.411 1.120 -5.306
-3.488 -1.150 4.661
-0.141 4.752 1.067
Zr Hg
5 1
direct
0.000 0.500 0.500
0.333 0.667 0.000
0.500 0.000 0.500
0.500 0.500 0.500
0.667 0.333 0.000
0.000 0.000 0.000
```

For the density of states at the Fermi level, the calculation gives 9.664 states/eV per cell. For the formation energy, the calculation gives 518 meV per atom. For the total moment, the calculation gives 0.0000 μB/atom. Its relative energy among the computed polymorphs is 585 meV per atom. Its crystal system is hexagonal.